1.
Density functional theory data (GGA-PBE) for a relaxed structure of MgNi2AgPb.

Its space group is No. 123. Its formation energy is 0.978 eV per atom. The spin magnetization is 0.49 μB/cell. The calculation puts the calculated total energy at -2.966 eV/atom.

Unit cell a=4.824 b=5.246 c=4.824 alpha=90.00 beta=90.00 gamma=90.00
Element x y z (fractional)
Ni  0.000  0.000  0.500
Ag  0.500  0.500  0.500
Mg  0.000  0.500  0.000
Pb  0.000  0.000  0.000
Ni  0.500  0.000  0.000


2.
Density functional theory data (GGA-PBE) for a relaxed structure of MgNiAgPd.

Its space group is No. 216. Its formation energy is -0.186 eV per atom. The spin magnetization is 0.00 μB/cell. The calculation puts the calculated total energy at -4.041 eV/atom.

Unit cell a=4.415 b=4.415 c=4.415 alpha=60.00 beta=60.00 gamma=60.00
Element x y z (fractional)
Ag  0.750  0.750  0.750
Pd  0.250  0.250  0.250
Mg  0.500  0.500  0.500
Ni  0.000  0.000  0.000


3.
Density functional theory data (GGA-PBE) for a relaxed structure of PmMgNiAg.

Its space group is No. 216. Its formation energy is -0.193 eV per atom. The spin magnetization is 0.00 μB/cell. The calculation puts the calculated total energy at -3.937 eV/atom.

Unit cell a=4.869 b=4.869 c=4.869 alpha=60.00 beta=60.00 gamma=60.00
Element x y z (fractional)
Pm  0.750  0.750  0.750
Ag  0.000  0.000  0.000
Mg  0.250  0.250  0.250
Ni  0.500  0.500  0.500


4.
Density functional theory data (GGA-PBE) for a relaxed structure of PrMgNiAg.

Its space group is No. 216. Its formation energy is -0.163 eV per atom. The spin magnetization is 0.00 μB/cell. The calculation puts the calculated total energy at -3.914 eV/atom.

Unit cell a=4.921 b=4.921 c=4.921 alpha=60.00 beta=60.00 gamma=60.00
Element x y z (fractional)
Ni  0.500  0.500  0.500
Pr  0.750  0.750  0.750
Mg  0.250  0.250  0.250
Ag  0.000  0.000  0.000